1.
Compound: PrEr5P6
Source: Alexandria
Functional: PBE-GGA
Structure: relaxed

Values from the calculation:
Its raw total energy is -79.048 eV for the cell shown. For the spin magnetization, the calculation gives 0.0 μB/f.u.

Cell lengths 6.9464, 6.9464, 6.9454 Å; angles 99.61, 99.61, 119.98 degrees
With the nearest neighbours (Å) after each atom.
Fractional positions:
1 Pr 0.0000 0.0000 0.0000  6 P 2.90
2 Er 0.1651 0.8349 0.5000  6 P 2.79-2.84
3 Er 0.3329 0.6671 0.0000  6 P 2.83
4 Er 0.5000 0.5000 0.5000  6 P 2.78-2.84
5 Er 0.6671 0.3329 0.0000  6 P 2.83
6 Er 0.8349 0.1651 0.5000  6 P 2.79-2.84
7 P 0.0851 0.4260 0.2550  5 Er 2.79-2.84, 1 Pr 2.90
8 P 0.2563 0.2563 0.7459  5 Er 2.78-2.83, 1 Pr 2.90
9 P 0.4260 0.0851 0.2550  5 Er 2.79-2.84, 1 Pr 2.90
10 P 0.5740 0.9149 0.7450  5 Er 2.79-2.84, 1 Pr 2.90
11 P 0.7437 0.7437 0.2541  5 Er 2.78-2.83, 1 Pr 2.90
12 P 0.9149 0.5740 0.7450  5 Er 2.79-2.84, 1 Pr 2.90

2.
Compound: ZrCoP2
Source: Alexandria
Functional: PBE-GGA
Structure: relaxed

Values from the calculation:
Its energy relative to the lowest polymorph listed for this composition is 26 meV/atom. For the spin magnetization, the calculation gives 0.0 μB/f.u.

Cell lengths 3.6811, 3.6811, 5.4569 Å; angles 109.46, 109.46, 59.66 degrees
With the nearest neighbours (Å) after each atom.
Fractional positions:
1 Zr 0.0000 0.0000 0.0000  6 P 2.64
2 Co 0.5000 0.5000 0.5000  6 P 2.32
3 P 0.2297 0.2297 0.6881  3 Co 2.32
4 P 0.7703 0.7703 0.3119  3 Co 2.32